# Ba5Ca4In4 (GGA-PBE, optimized geometry)
data_Ba5Ca4In4
_chemical_formula_sum 'Ba10 Ca8 In8'
_symmetry_space_group_name_H-M 'I 4/m'
_symmetry_Int_Tables_number 87
_symmetry_space_group_name_Hall '-I 4'
_cell_length_a 13.998
_cell_length_b 13.998
_cell_length_c 5.521
_cell_angle_alpha 90.00
_cell_angle_beta 90.00
_cell_angle_gamma 90.00
loop_
_atom_site_label
_atom_site_fract_x
_atom_site_fract_y
_atom_site_fract_z
Ba1 0.000 0.000 0.000
Ba2 0.127 0.800 0.500
Ca1 0.082 0.389 0.500
In1 0.062 0.257 0.000
# - DFT total energy (eV/f.u.) = -32.50
# - size of the total moment (Bohr magnetons per cell) = 0.00
# - formation energy (eV per atom) = -0.302



# Ba2CaIn (GGA-PBE, optimized geometry)
data_Ba2CaIn
_chemical_formula_sum 'Ba4 Ca2 In2'
_symmetry_space_group_name_H-M 'I m m 2'
_symmetry_Int_Tables_number 44
_cell_length_a 4.215
_cell_length_b 6.386
_cell_length_c 13.362
_cell_angle_alpha 90.00
_cell_angle_beta 90.00
_cell_angle_gamma 90.00
loop_
_symmetry_equiv_pos_as_xyz
'x,y,z'
'-x,-y,z'
'-x,y,z'
'x,-y,z'
'x+1/2,y+1/2,z+1/2'
'-x+1/2,-y+1/2,z+1/2'
'-x+1/2,y+1/2,z+1/2'
'x+1/2,-y+1/2,z+1/2'
loop_
_atom_site_label
_atom_site_fract_x
_atom_site_fract_y
_atom_site_fract_z
Ba1 0.000 0.000 0.000
Ba2 0.000 0.500 0.198
Ca1 0.000 0.500 0.795
In1 0.000 0.000 0.479
# - DFT total energy (eV/f.u.) = -9.44
# - distance to the lowest polymorph of the same formula (meV/atom) = 33
# - size of the total moment (Bohr magnetons per cell) = 0.00
# - formation energy (eV per atom) = -0.213



# Ba2CaIn2 (GGA-PBE, optimized geometry)
data_Ba2CaIn2
_chemical_formula_sum 'Ba4 Ca2 In4'
_symmetry_space_group_name_H-M 'P 4/m b m'
_symmetry_Int_Tables_number 127
_symmetry_space_group_name_Hall '-P 4 2ab'
_cell_length_a 10.149
_cell_length_b 10.149
_cell_length_c 3.868
_cell_angle_alpha 90.00
_cell_angle_beta 90.00
_cell_angle_gamma 90.00
loop_
_atom_site_label
_atom_site_fract_x
_atom_site_fract_y
_atom_site_fract_z
Ba1 0.133 0.367 0.000
Ca1 0.000 0.000 0.000
In1 0.166 0.666 0.500
# - DFT total energy (eV/f.u.) = -12.24
# - distance to the lowest polymorph of the same formula (meV/atom) = 165
# - size of the total moment (Bohr magnetons per cell) = 0.00
# - formation energy (eV per atom) = -0.184



# Ba2CaIn (GGA-PBE, optimized geometry)
data_Ba2CaIn
_chemical_formula_sum 'Ba6 Ca3 In3'
_symmetry_space_group_name_H-M 'R 3 m'
_symmetry_Int_Tables_number 160
_symmetry_space_group_name_Hall 'R 3 -2"'
_cell_length_a 4.2306
_cell_length_b 4.2306
_cell_length_c 37.2062
_cell_angle_alpha 90.00
_cell_angle_beta 90.00
_cell_angle_gamma 120.00
loop_
_atom_site_label
_atom_site_fract_x
_atom_site_fract_y
_atom_site_fract_z
Ba1 0.0000 0.0000 0.0000
Ba2 0.0000 0.0000 0.1914
Ca1 0.0000 0.0000 0.4289
In1 0.0000 0.0000 0.5955
# - DFT total energy (eV/f.u.) = -8.86
# - distance to the lowest polymorph of the same formula (meV/atom) = 178
# - size of the total moment (Bohr magnetons per cell) = 0.00
# - formation energy (eV per atom) = -0.068